No. 1
Computed, not measured: a geometry-optimized TbMgScPd structure at the PBE level of DFT.

```
data_TbMgScPd
_chemical_formula_sum 'Tb4 Mg4 Sc4 Pd4'
_cell_length_a 7.0717
_cell_length_b 7.0717
_cell_length_c 7.0717
_cell_angle_alpha 90.00
_cell_angle_beta 90.00
_cell_angle_gamma 90.00
_space_group_name_H-M_alt 'F -4 3 m'
_space_group_IT_number 216
_space_group_name_Hall 'F -4 2 3'
loop_
_atom_site_label
_atom_site_type_symbol
_atom_site_fract_x
_atom_site_fract_y
_atom_site_fract_z
_atom_site_occupancy
Tb1 Tb 0.0000 0.0000 0.0000 1
Mg1 Mg 0.2500 0.2500 0.2500 1
Sc1 Sc 0.0000 0.0000 0.5000 1
Pd1 Pd 0.2500 0.2500 0.7500 1
```



No. 2
Computed, not measured: a geometry-optimized MgScTlPd structure at the PBE level of DFT.

```
data_MgScTlPd
_chemical_formula_sum 'Mg4 Sc4 Tl4 Pd4'
_cell_length_a 6.8145
_cell_length_b 6.8145
_cell_length_c 6.8145
_cell_angle_alpha 90.00
_cell_angle_beta 90.00
_cell_angle_gamma 90.00
_space_group_name_H-M_alt 'F -4 3 m'
_space_group_IT_number 216
_space_group_name_Hall 'F -4 2 3'
loop_
_atom_site_label
_atom_site_type_symbol
_atom_site_fract_x
_atom_site_fract_y
_atom_site_fract_z
_atom_site_occupancy
Mg1 Mg 0.0000 0.0000 0.0000 1
Sc1 Sc 0.0000 0.0000 0.5000 1
Tl1 Tl 0.2500 0.2500 0.2500 1
Pd1 Pd 0.2500 0.2500 0.7500 1
```



no.,calculated total energy (eV/atom),energy of formation (meV per atom)
1,-4.818,-380
2,-4.345,-474